A geometry-optimized Sm2Y3Ho7 structure. Source: Alexandria, functional PBE.

## Properties
The space-group type is P2/m. As for the final energy: -59.9 eV for the cell shown. The calculation puts the mass density at 7.43 Mg/m³. The density of states at the Fermi level is 17.75 states/eV/f.u.

Cell lengths 6.322, 3.517, 17.408 Å; angles 90.00, 96.20, 90.00 degrees
Sites, in units of the cell vectors:
Sm 0.060 0.000 0.173
Sm 0.940 0.000 0.827
Y 0.451 0.500 0.842
Y 0.500 0.000 0.500
Y 0.549 0.500 0.158
Ho 0.000 0.500 0.500
Ho 0.225 0.000 0.666
Ho 0.256 0.000 0.999
Ho 0.274 0.500 0.335
Ho 0.726 0.500 0.665
Ho 0.744 0.000 0.001
Ho 0.775 0.000 0.334

---

A geometry-optimized PrTlGaHg structure. Source: Alexandria, functional PBE.

## Properties
The space-group type is F-43m. As for the final energy: -11.5 eV for the cell shown. The calculation puts the mass density at 9.81 Mg/m³. The density of states at the Fermi level is 4.24 states/eV/f.u.

Cell lengths 5.282, 5.282, 5.282 Å; angles 60.00, 60.00, 60.00 degrees
Sites, in units of the cell vectors:
Pr 0.000 0.000 0.000
Tl 0.500 0.500 0.500
Ga 0.750 0.750 0.750
Hg 0.250 0.250 0.250

---

A geometry-optimized Mg2CuSi2Ni5 structure. Source: Alexandria, functional PBE.

## Properties
The space-group type is P4/mbm. The calculation puts the mass density at 5.93 Mg/m³. The density of states at the Fermi level is 5.25 states/eV/f.u. The calculation puts the formation energy (no corrections) at -0.312 eV/atom.

Cell lengths 8.906, 8.906, 3.262 Å; angles 90.00, 90.00, 90.00 degrees
Sites, in units of the cell vectors:
Mg 0.173 0.327 0.000
Mg 0.327 0.827 0.000
Mg 0.673 0.173 0.000
Mg 0.827 0.673 0.000
Cu 0.000 0.000 0.000
Cu 0.500 0.500 0.000
Si 0.126 0.626 0.000
Si 0.374 0.126 0.000
Si 0.626 0.874 0.000
Si 0.874 0.374 0.000
Ni 0.000 0.500 0.500
Ni 0.068 0.795 0.500
Ni 0.205 0.068 0.500
Ni 0.295 0.568 0.500
Ni 0.432 0.295 0.500
Ni 0.500 0.000 0.500
Ni 0.568 0.705 0.500
Ni 0.705 0.432 0.500
Ni 0.795 0.932 0.500
Ni 0.932 0.205 0.500

---

A geometry-optimized SrCl3 structure. Source: Alexandria, functional PBE.

## Properties
The space-group type is Cmmm. The calculation puts the mass density at 3.13 Mg/m³. The density of states at the Fermi level is 1.89 states/eV/f.u. The calculation puts the formation energy (no corrections) at -1.556 eV/atom.

Cell lengths 4.491, 4.491, 5.245 Å; angles 90.00, 90.00, 103.64 degrees
Sites, in units of the cell vectors:
Sr 0.000 0.000 0.000
Cl 0.000 0.500 0.500
Cl 0.500 0.000 0.500
Cl 0.500 0.500 0.000

---

A geometry-optimized Ac4Cd2Ag3 structure. Source: Alexandria, functional PBE.

## Properties
The space-group type is C2/m. As for the final energy: -28.9 eV for the cell shown. The calculation puts the mass density at 8.69 Mg/m³. The density of states at the Fermi level is 7.20 states/eV/f.u.

Cell lengths 6.100, 6.100, 9.650 Å; angles 99.75, 99.75, 52.08 degrees
Sites, in units of the cell vectors:
Ac 0.078 0.078 0.347
Ac 0.357 0.357 0.095
Ac 0.643 0.643 0.905
Ac 0.922 0.922 0.653
Cd 0.245 0.245 0.712
Cd 0.755 0.755 0.288
Ag 0.000 0.000 0.000
Ag 0.376 0.376 0.433
Ag 0.624 0.624 0.567

---

A geometry-optimized CeDy3Y structure. Source: Alexandria, functional PBE.

## Properties
The space-group type is C2/m. As for the final energy: -50.4 eV for the cell shown. The calculation puts the mass density at 7.54 Mg/m³. The density of states at the Fermi level is 11.11 states/eV/f.u.

Cell lengths 6.821, 6.821, 8.998 Å; angles 98.42, 98.42, 127.08 degrees
Sites, in units of the cell vectors:
Ce 0.228 0.772 0.000
Ce 0.772 0.228 0.000
Dy 0.207 0.207 0.882
Dy 0.272 0.539 0.295
Dy 0.461 0.728 0.705
Dy 0.539 0.272 0.295
Dy 0.728 0.461 0.705
Dy 0.793 0.793 0.118
Y 0.134 0.866 0.500
Y 0.866 0.134 0.500